## Ac6PmNd2Sm3 (PBE)

Data for a relaxed structure of Ac6PmNd2Sm3.

The structure belongs to space group C2/m (No. 12); the cell edges are 6.670, 11.563 and 12.399 Å and the angles 90.00°, 100.34° and 90.00°. The asymmetric unit holds Ac at (0.249, 0.000, 0.248), Ac at (0.249, 0.333, 0.249), Pm at (0.000, 0.000, 0.500), Nd at (0.000, 0.333, 0.500), Sm at (0.000, 0.167, 0.000) and Sm at (0.000, 0.500, 0.000).

As for the formation energy: 0.028 eV/atom.